Material: Ga3Ag7Sn
Method: DFT, PBE
State: optimized geometry

The space group is C2/m (No. 12) and the conventional cell measures 9.0215, 9.6336 and 5.6260 Å, with angles of 90.00, 116.33 and 90.00 degrees. Symmetry generates all atoms from Ga at (0.0000, 0.0000, 0.0000), Ga at (0.0000, 0.2235, 0.5000), Ag at (0.0000, 0.5000, 0.5000), Ag at (0.1811, 0.2314, 0.1864), Ag at (0.1876, 0.0000, 0.5375) and Sn at (0.0000, 0.5000, 0.0000).

The volume is 19.9 A^3/atom. The calculation puts the density at 8.2 g/cm³. Its calculated formation energy is 0.09 eV/atom.